A relaxed ZnHgSb2 crystal, computed with GGA-PBE. Values from VASP.

The energy above the lowest structure with this stoichiometry comes out at 71 kJ/mol of formula units. The value obtained for the electronic total energy is -8.70 eV per cell. For the size of the total moment, the calculation gives 0.00 μB per atom. The uncorrected formation energy comes out at 0.2802 eV/atom.

Quantum ESPRESSO input file:
```
&SYSTEM
  ibrav = 0, nat = 4, ntyp = 3
/
ATOMIC_SPECIES
Zn 65.41 Zn.upf
Hg 200.59 Hg.upf
Sb 121.76 Sb.upf
ATOMIC_POSITIONS crystal
Zn 0.0000 0.0000 0.0000
Hg 0.5000 0.5000 0.5000
Sb 0.2500 0.2500 0.2500
Sb 0.7500 0.7500 0.7500
CELL_PARAMETERS angstrom
0.0000 3.6548 3.6548
3.6548 0.0000 3.6548
3.6548 3.6548 0.0000
```